No. 1
! GGA-PBE IrPt2O6, optimized geometry; values from VASP
&SYSTEM
  ibrav = 0, nat = 9, ntyp = 3
/
ATOMIC_SPECIES
Ir 192.22 Ir.upf
Pt 195.08 Pt.upf
O 16.00 O.upf
ATOMIC_POSITIONS crystal
Ir 0.0000 0.0000 0.0000
Pt 0.3332 0.3332 0.6665
Pt 0.6668 0.6668 0.3335
O 0.1544 0.1544 0.1119
O 0.1776 0.1776 0.5562
O 0.4871 0.4871 0.7844
O 0.5129 0.5129 0.2156
O 0.8224 0.8224 0.4438
O 0.8456 0.8456 0.8881
CELL_PARAMETERS angstrom
6.5815 -1.5820 0.0000
6.5815 1.5820 0.0000
-0.8573 0.0000 5.9110
! * uncorrected energy: -55.0 eV/cell
! * total magnetic moment: 0.25 μB per formula unit



No. 2
! GGA-PBE IrPtO2, optimized geometry; values from VASP
&SYSTEM
  ibrav = 0, nat = 4, ntyp = 3
/
ATOMIC_SPECIES
Ir 192.22 Ir.upf
Pt 195.08 Pt.upf
O 16.00 O.upf
ATOMIC_POSITIONS crystal
Ir 0.0000 0.0000 0.0000
Pt 0.5000 0.5000 0.5000
O 0.3891 0.3891 0.3891
O 0.6109 0.6109 0.6109
CELL_PARAMETERS angstrom
1.5435 0.8911 6.0829
-1.5435 0.8911 6.0829
0.0000 -1.7822 6.0829
! * polymorph energy (0 for the lowest one): 0.0000 eV per atom
! * total magnetic moment: 0.00 μB per formula unit



No. 3
! GGA-PBE Ir3PtO, optimized geometry; values from VASP
&SYSTEM
  ibrav = 0, nat = 5, ntyp = 3
/
ATOMIC_SPECIES
Ir 192.22 Ir.upf
Pt 195.08 Pt.upf
O 16.00 O.upf
ATOMIC_POSITIONS crystal
Ir 0.0000 0.0000 0.5000
Ir 0.0000 0.5000 0.0000
Ir 0.5000 0.0000 0.0000
Pt 0.5000 0.5000 0.5000
O 0.0000 0.0000 0.0000
CELL_PARAMETERS angstrom
4.1389 0.0000 0.0000
0.0000 4.1389 0.0000
0.0000 0.0000 4.1389
! * polymorph energy (0 for the lowest one): 0.0000 eV per atom
! * total magnetic moment: 0.03 μB per formula unit



No. 4
! GGA-PBE IrPtO2, optimized geometry; values from VASP
&SYSTEM
  ibrav = 0, nat = 4, ntyp = 3
/
ATOMIC_SPECIES
Ir 192.22 Ir.upf
Pt 195.08 Pt.upf
O 16.00 O.upf
ATOMIC_POSITIONS crystal
Ir 0.0000 0.0000 0.0000
Pt 0.5000 0.5000 0.5000
O 0.2500 0.2500 0.2500
O 0.7500 0.7500 0.7500
CELL_PARAMETERS angstrom
0.0000 2.8329 2.8329
2.8329 0.0000 2.8329
2.8329 2.8329 0.0000
! * polymorph energy (0 for the lowest one): 1.1745 eV per atom
! * total magnetic moment: 0.00 μB per formula unit



No. 5
! GGA-PBE IrPtO2, optimized geometry; values from VASP
&SYSTEM
  ibrav = 0, nat = 8, ntyp = 3
/
ATOMIC_SPECIES
Ir 192.22 Ir.upf
Pt 195.08 Pt.upf
O 16.00 O.upf
ATOMIC_POSITIONS crystal
Ir 0.0000 0.0000 0.0000
Ir 0.7500 0.2500 0.5000
Pt 0.2500 0.7500 0.5000
Pt 0.5000 0.5000 0.0000
O 0.0934 0.6250 0.9684
O 0.3750 0.3434 0.4684
O 0.6566 0.1250 0.0316
O 0.8750 0.9066 0.5316
CELL_PARAMETERS angstrom
-1.9459 1.9459 6.5996
1.9459 -1.9459 6.5996
1.9459 1.9459 -6.5996
! * polymorph energy (0 for the lowest one): 0.5707 eV per atom
! * total magnetic moment: 0.00 μB per formula unit



No. 6
! GGA-PBE IrPt2O2, optimized geometry; values from VASP
&SYSTEM
  ibrav = 0, nat = 5, ntyp = 3
/
ATOMIC_SPECIES
Ir 192.22 Ir.upf
Pt 195.08 Pt.upf
O 16.00 O.upf
ATOMIC_POSITIONS crystal
Ir 0.0000 0.0000 0.0000
Pt 0.5000 0.5000 0.0000
Pt 0.5000 0.5000 0.5000
O 0.0000 0.5000 0.5000
O 0.5000 0.0000 0.5000
CELL_PARAMETERS angstrom
3.7507 0.0000 0.0000
0.0000 3.7507 0.0000
0.0000 0.0000 5.7444
! * uncorrected energy: -27.1 eV/cell
! * total magnetic moment: 2.17 μB per formula unit



- Which of these has the highest total magnetic moment?
  IrPt2O2



- Look up the total magnetic moment of the second one.
  0.00 μB per formula unit



- Which formula does entry 3 have?
  Ir3PtO



- The highest total magnetic moment belongs to which entry?
  IrPt2O2